VASP calculation (GGA-PBE) on Tb3Cd7Ag2 after structural relaxation.

* calculated formation energy: -0.2075 eV per atom
* DFT total energy: -2.37 eV per atom
* energy above the lowest structure with this stoichiometry: 0 meV per atom

Cell: 5.8688 5.8688 28.2974 Å, 90.00 90.00 120.00°
Space group R-3m (No. 166, hexagonal axes)
Symmetry-distinct sites (fractional):
1 Tb 0.0000 0.0000 0.0000 [3 per cell]
2 Tb 0.0000 0.0000 0.1420 [6 per cell]
3 Cd 0.0000 0.0000 0.5000 [3 per cell]
4 Cd 0.0060 0.5030 0.9172 [18 per cell]
5 Ag 0.0000 0.0000 0.3345 [6 per cell]